No. 1
An optimized crystal structure of Hg2GeS4. Source: Alexandria via LeMat-Bulk, functional PBE.

volume = 317.4 Å³ per cell
uncorrected energy = -2.774 eV per atom
crystal system = tetragonal
uncorrected formation energy = 330.2 meV/atom

```
data_Hg2GeS4
_chemical_formula_sum 'Hg4 Ge2 S8'
_cell_length_a 4.930
_cell_length_b 4.930
_cell_length_c 13.055
_cell_angle_alpha 90.00
_cell_angle_beta 90.00
_cell_angle_gamma 90.00
_space_group_name_H-M_alt 'I 4/m m m'
_space_group_IT_number 139
_space_group_name_Hall '-I 4 2'
loop_
_atom_site_label
_atom_site_type_symbol
_atom_site_fract_x
_atom_site_fract_y
_atom_site_fract_z
_atom_site_occupancy
Hg1 Hg 0.000 0.000 0.123 1
Ge1 Ge 0.000 0.000 0.500 1
S1 S 0.000 0.000 0.312 1
S2 S 0.000 0.500 0.000 1
```

No. 2
An optimized crystal structure of Hg3GeS4. Source: Alexandria via LeMat-Bulk, functional PBE.

volume = 436.3 Å³ per cell
uncorrected energy = -2.834 eV per atom
crystal system = orthorhombic
uncorrected formation energy = -79.9 meV/atom

```
data_Hg3GeS4
_chemical_formula_sum 'Hg6 Ge2 S8'
_cell_length_a 8.559
_cell_length_b 7.490
_cell_length_c 6.806
_cell_angle_alpha 90.00
_cell_angle_beta 90.00
_cell_angle_gamma 90.00
_space_group_name_H-M_alt 'P m n 21'
_space_group_IT_number 31
loop_
_space_group_symop_operation_xyz
'x,y,z'
'-x+1/2,-y,z+1/2'
'-x,y,z'
'x+1/2,-y,z+1/2'
loop_
_atom_site_label
_atom_site_type_symbol
_atom_site_fract_x
_atom_site_fract_y
_atom_site_fract_z
_atom_site_occupancy
Hg1 Hg 0.000 0.166 0.000 1
Hg2 Hg 0.248 0.665 0.000 1
Ge1 Ge 0.000 0.836 0.506 1
S1 S 0.000 0.174 0.617 1
S2 S 0.000 0.836 0.127 1
S3 S 0.248 0.335 0.116 1
```

No. 3
An optimized crystal structure of HgGeS. Source: Alexandria via LeMat-Bulk, functional PBE.

volume = 159.2 Å³ per cell
uncorrected energy = -3.162 eV per atom
excess energy over the best structure of this formula in the dataset = 0.000 eV/atom
crystal system = monoclinic
uncorrected formation energy = -146.0 meV/atom

```
data_HgGeS
_chemical_formula_sum 'Hg2 Ge2 S2'
_cell_length_a 5.493
_cell_length_b 3.559
_cell_length_c 8.196
_cell_angle_alpha 90.00
_cell_angle_beta 96.37
_cell_angle_gamma 90.00
_space_group_name_H-M_alt 'P 1 21/m 1'
_space_group_IT_number 11
loop_
_space_group_symop_operation_xyz
'x,y,z'
'-x,-y,-z'
'-x,y+1/2,-z'
'x,-y+1/2,z'
loop_
_atom_site_label
_atom_site_type_symbol
_atom_site_fract_x
_atom_site_fract_y
_atom_site_fract_z
_atom_site_occupancy
Hg1 Hg 0.239 0.250 0.442 1
Ge1 Ge 0.259 0.750 0.104 1
S1 S 0.230 0.250 0.900 1
```

No. 4
An optimized crystal structure of Hg3GeS. Source: Alexandria via LeMat-Bulk, functional PBE.

volume = 143.6 Å³ per cell
uncorrected energy = -1.309 eV per atom
excess energy over the best structure of this formula in the dataset = 0.190 eV/atom
crystal system = cubic
uncorrected formation energy = 621.0 meV/atom

```
data_Hg3GeS
_chemical_formula_sum 'Hg3 Ge1 S1'
_cell_length_a 5.236
_cell_length_b 5.236
_cell_length_c 5.236
_cell_angle_alpha 90.00
_cell_angle_beta 90.00
_cell_angle_gamma 90.00
_space_group_name_H-M_alt 'P m -3 m'
_space_group_IT_number 221
_space_group_name_Hall '-P 4 2 3'
loop_
_atom_site_label
_atom_site_type_symbol
_atom_site_fract_x
_atom_site_fract_y
_atom_site_fract_z
_atom_site_occupancy
Hg1 Hg 0.000 0.000 0.500 1
Ge1 Ge 0.500 0.500 0.500 1
S1 S 0.000 0.000 0.000 1
```

No. 5
An optimized crystal structure of HgGeS2. Source: Alexandria via LeMat-Bulk, functional PBE.

volume = 525.4 Å³ per cell
uncorrected energy = -3.488 eV per atom
crystal system = monoclinic
uncorrected formation energy = -194.3 meV/atom

```
data_HgGeS2
_chemical_formula_sum 'Hg4 Ge4 S8'
_cell_length_a 5.930
_cell_length_b 13.319
_cell_length_c 7.279
_cell_angle_alpha 90.00
_cell_angle_beta 113.97
_cell_angle_gamma 90.00
_space_group_name_H-M_alt 'C 1 m 1'
_space_group_IT_number 8
loop_
_space_group_symop_operation_xyz
'x,y,z'
'x,-y,z'
'x+1/2,y+1/2,z'
'x+1/2,-y+1/2,z'
loop_
_atom_site_label
_atom_site_type_symbol
_atom_site_fract_x
_atom_site_fract_y
_atom_site_fract_z
_atom_site_occupancy
Hg1 Hg 0.000 0.250 0.000 1
Ge1 Ge 0.001 0.000 0.500 1
Ge2 Ge 0.001 0.500 0.500 1
S1 S 0.123 0.000 0.243 1
S2 S 0.251 0.372 0.500 1
S3 S 0.379 0.000 0.757 1
```

No. 6
An optimized crystal structure of Hg2GeSe2S. Source: Alexandria via LeMat-Bulk, functional PBE.

volume = 722.5 Å³ per cell
uncorrected energy = -2.857 eV per atom
crystal system = orthorhombic
uncorrected formation energy = -137.3 meV/atom

```
data_Hg2GeSe2S
_chemical_formula_sum 'Hg8 Ge4 Se8 S4'
_cell_length_a 12.330
_cell_length_b 8.562
_cell_length_c 6.844
_cell_angle_alpha 90.00
_cell_angle_beta 90.00
_cell_angle_gamma 90.00
_space_group_name_H-M_alt 'C m c 21'
_space_group_IT_number 36
loop_
_space_group_symop_operation_xyz
'x,y,z'
'-x,-y,z+1/2'
'-x,y,z'
'x,-y,z+1/2'
'x+1/2,y+1/2,z'
'-x+1/2,-y+1/2,z+1/2'
'-x+1/2,y+1/2,z'
'x+1/2,-y+1/2,z+1/2'
loop_
_atom_site_label
_atom_site_type_symbol
_atom_site_fract_x
_atom_site_fract_y
_atom_site_fract_z
_atom_site_occupancy
Hg1 Hg 0.164 0.169 0.000 1
Ge1 Ge 0.000 0.319 0.489 1
Se1 Se 0.164 0.144 0.394 1
S1 S 0.000 0.296 0.836 1
```

No. 7
An optimized crystal structure of Sm6HgGe2S3. Source: Alexandria via LeMat-Bulk, functional PBE.

volume = 611.6 Å³ per cell
uncorrected energy = -5.550 eV per atom
crystal system = monoclinic
uncorrected formation energy = -1363.5 meV/atom

```
data_Sm6HgGe2S3
_chemical_formula_sum 'Sm12 Hg2 Ge4 S6'
_cell_length_a 18.337
_cell_length_b 4.141
_cell_length_c 8.411
_cell_angle_alpha 90.00
_cell_angle_beta 106.75
_cell_angle_gamma 90.00
_space_group_name_H-M_alt 'C 1 2/m 1'
_space_group_IT_number 12
loop_
_space_group_symop_operation_xyz
'x,y,z'
'-x,-y,-z'
'-x,y,-z'
'x,-y,z'
'x+1/2,y+1/2,z'
'-x+1/2,-y+1/2,-z'
'-x+1/2,y+1/2,-z'
'x+1/2,-y+1/2,z'
loop_
_atom_site_label
_atom_site_type_symbol
_atom_site_fract_x
_atom_site_fract_y
_atom_site_fract_z
_atom_site_occupancy
Sm1 Sm 0.005 0.000 0.228 1
Sm2 Sm 0.168 0.500 0.079 1
Sm3 Sm 0.174 0.500 0.583 1
Hg1 Hg 0.000 0.500 0.500 1
Ge1 Ge 0.162 0.000 0.823 1
S1 S 0.000 0.500 0.000 1
S2 S 0.168 0.000 0.330 1
```

No. 8
An optimized crystal structure of SrHgGe2S. Source: Alexandria via LeMat-Bulk, functional PBE.

volume = 136.5 Å³ per cell
uncorrected energy = -3.002 eV per atom
crystal system = tetragonal
uncorrected formation energy = 67.3 meV/atom

```
data_SrHgGe2S
_chemical_formula_sum 'Sr1 Hg1 Ge2 S1'
_cell_length_a 5.119
_cell_length_b 5.119
_cell_length_c 5.208
_cell_angle_alpha 90.00
_cell_angle_beta 90.00
_cell_angle_gamma 90.00
_space_group_name_H-M_alt 'P 4/m m m'
_space_group_IT_number 123
_space_group_name_Hall '-P 4 2'
loop_
_atom_site_label
_atom_site_type_symbol
_atom_site_fract_x
_atom_site_fract_y
_atom_site_fract_z
_atom_site_occupancy
Sr1 Sr 0.000 0.000 0.000 1
Hg1 Hg 0.500 0.500 0.000 1
Ge1 Ge 0.000 0.500 0.500 1
S1 S 0.500 0.500 0.500 1
```